{
  "formula": "PmAlAg",
  "functional": "PBE-GGA",
  "state": "optimized geometry",
  "lattice": [[4.776, 0.000, 0.000], [2.388, 4.136, 0.000], [2.388, 1.379, 3.900]],
  "species": ["Al", "Ag", "Pm"],
  "fractional_positions": [[0.500, 0.500, 0.500], [0.250, 0.250, 0.250], [0.000, 0.000, 0.000]],
  "e_form_kcal_per_mol_atoms": -3.94,
  "spacegroup": "No. 216",
  "rho_g_cm3": 6.0,
  "m_tot_mub_per_fu": 0.00,
  "e_tot_ev_per_atom": -3.952,
  "e_above_lowest_polymorph_mev_per_atom": 215
}